Entry 1:
{"formula": "LaYIrBr", "functional": "GGA-PBE", "state": "optimized geometry", "lattice_angstrom": [[2.0615, 1.1902, 7.8449], [-2.0615, 1.1902, 7.8449], [0.0000, -2.3804, 7.8449]], "species": ["La", "Y", "Ir", "Br"], "fractional_positions": [[0.0000, 0.0000, 0.0000], [0.7940, 0.7940, 0.7940], [0.3987, 0.3987, 0.3987], [0.2234, 0.2234, 0.2234]], "final_energy_ev_per_atom": -6.618, "e_form_raw_ev_per_atom": -1.136, "rho_g_cm3": 7.19, "crystal_system": "trigonal", "total_magnetization_mub_per_fu": 0.000}

Entry 2:
{"formula": "LiIrBr", "functional": "GGA-PBE", "state": "optimized geometry", "lattice_angstrom": [[0.0000, 3.0083, 3.0083], [3.0083, 0.0000, 3.0083], [3.0083, 3.0083, 0.0000]], "species": ["Li", "Ir", "Br"], "fractional_positions": [[0.0000, 0.0000, 0.0000], [0.2500, 0.2500, 0.2500], [0.5000, 0.5000, 0.5000]], "final_energy_ev_per_atom": -3.636, "e_form_raw_ev_per_atom": 0.513, "e_above_lowest_polymorph_mev_per_atom": 264.5, "rho_g_cm3": 8.51, "crystal_system": "cubic", "total_magnetization_mub_per_fu": 0.000}

Entry 3:
{"formula": "Li2IrBr", "functional": "GGA-PBE", "state": "optimized geometry", "lattice_angstrom": [[1.5756, -2.5168, 0.0000], [1.5756, 2.5168, 0.0000], [0.0000, 0.0000, 8.0820]], "species": ["Li", "Li", "Ir", "Br"], "fractional_positions": [[0.0000, 0.0000, 0.2455], [0.0000, 0.0000, 0.7545], [0.5000, 0.5000, 0.5000], [0.5000, 0.5000, 0.0000]], "final_energy_ev_per_atom": -3.796, "e_form_raw_ev_per_atom": -0.206, "e_above_lowest_polymorph_mev_per_atom": 51.2, "rho_g_cm3": 7.41, "crystal_system": "orthorhombic", "total_magnetization_mub_per_fu": 0.002}

Entry 4:
{"formula": "LiIr3Br", "functional": "GGA-PBE", "state": "optimized geometry", "lattice_angstrom": [[4.2758, 0.0000, 0.0000], [0.0000, 4.2758, 0.0000], [0.0000, 0.0000, 4.2758]], "species": ["Li", "Ir", "Ir", "Ir", "Br"], "fractional_positions": [[0.0000, 0.0000, 0.0000], [0.0000, 0.0000, 0.5000], [0.0000, 0.5000, 0.0000], [0.5000, 0.0000, 0.0000], [0.5000, 0.5000, 0.5000]], "final_energy_ev_per_atom": -4.457, "e_form_raw_ev_per_atom": 1.577, "e_above_lowest_polymorph_mev_per_atom": 0.0, "rho_g_cm3": 14.09, "crystal_system": "cubic", "total_magnetization_mub_per_fu": 0.000}